(1)
First-principles (PBE) data for a relaxed LaTm5Au6 crystal, as listed in Alexandria via LeMat-Bulk.

Calculated values
- Crystal system: monoclinic
- Formation energy: -861 meV/atom

a b c (Å): 5.0831 7.1448 8.0906
angles (deg): 90.00 108.41 90.00
Atoms (fractional coordinates):
Tm 0.6645 0.5000 0.3299
Au 0.8274 0.2572 0.6529
Tm 0.3355 0.5000 0.6701
Au 0.5000 0.7314 0.0000
Tm 0.6687 0.0000 0.3381
Tm 0.3313 0.0000 0.6619
Au 0.8274 0.7428 0.6529
La 0.0000 0.0000 0.0000
Au 0.1726 0.7428 0.3471
Au 0.5000 0.2686 0.0000
Au 0.1726 0.2572 0.3471
Tm 0.0000 0.5000 0.0000


(2)
First-principles (PBE) data for a relaxed CsLiAgCl3 crystal, as listed in Alexandria via LeMat-Bulk.

Calculated values
- Uncorrected formation energy: -1.4029 eV per atom
- Crystal system: orthorhombic

a b c (Å): 7.1245 7.1512 7.4473
angles (deg): 118.69 90.00 90.00
Atoms (fractional coordinates):
Cs 0.2500 0.7369 0.4737
Cl 0.5000 0.2382 0.0000
Cl 0.2500 0.2343 0.4686
Li 0.2500 0.0509 0.1019
Li 0.7500 0.9491 0.8981
Cl 0.7500 0.7657 0.5314
Cs 0.7500 0.2631 0.5263
Ag 0.7500 0.5669 0.1339
Cl 0.0000 0.7618 0.0000
Ag 0.2500 0.4331 0.8661
Cl 0.5000 0.7618 0.0000
Cl 0.0000 0.2382 0.0000


Which M_tot belongs to each record? In order, 0.000 0.000 μB per atom.